[1]
This record from Alexandria describes an optimized crystal structure of HRh3Pb3. The functional is PBE-GGA.

The value obtained for the uncorrected energy is -5.190 eV/atom. As for the symmetry: C2/m (12).

abc: 5.5187 5.5187 14.8614
angles: 105.17 105.17 35.03
Fractional positions:
H 0.2384 0.2384 0.0489
H 0.7616 0.7616 0.9511
Rh 0.3362 0.3362 0.9576
Rh 0.3845 0.3845 0.4188
Rh 0.4914 0.4914 0.7334
Rh 0.5086 0.5086 0.2666
Rh 0.6155 0.6155 0.5812
Rh 0.6638 0.6638 0.0424
Pb 0.0158 0.0158 0.8883
Pb 0.1162 0.1162 0.4246
Pb 0.2215 0.2215 0.7437
Pb 0.7785 0.7785 0.2563
Pb 0.8838 0.8838 0.5754
Pb 0.9842 0.9842 0.1117

[2]
This record from Alexandria describes an optimized crystal structure of HRh3Pb. The functional is PBE-GGA.

The value obtained for the uncorrected energy is -5.640 eV/atom. As for the symmetry: Pnma (62). For the energy above the lowest structure with this stoichiometry, the calculation gives 252 meV per atom.

abc: 5.2408 7.2657 7.7497
angles: 90.00 90.00 90.00
Fractional positions:
H 0.0010 0.2500 0.0241
H 0.4990 0.7500 0.5241
H 0.5010 0.2500 0.4759
H 0.9990 0.7500 0.9759
Rh 0.0514 0.0730 0.8407
Rh 0.0514 0.4270 0.8407
Rh 0.2121 0.2500 0.1977
Rh 0.2879 0.7500 0.6977
Rh 0.4486 0.5730 0.3407
Rh 0.4486 0.9270 0.3407
Rh 0.5514 0.0730 0.6593
Rh 0.5514 0.4270 0.6593
Rh 0.7121 0.2500 0.3023
Rh 0.7879 0.7500 0.8023
Rh 0.9486 0.5730 0.1593
Rh 0.9486 0.9270 0.1593
Pb 0.0000 0.0000 0.5000
Pb 0.0000 0.5000 0.5000
Pb 0.5000 0.0000 0.0000
Pb 0.5000 0.5000 0.0000

[3]
This record from Alexandria describes an optimized crystal structure of HRh3Pb. The functional is PBE-GGA.

The value obtained for the uncorrected energy is -5.397 eV/atom. As for the symmetry: P4mm (99). For the energy above the lowest structure with this stoichiometry, the calculation gives 495 meV per atom.

abc: 3.8364 3.8364 6.4268
angles: 90.00 90.00 90.00
Fractional positions:
H 0.0000 0.0000 0.0000
Rh 0.0000 0.5000 0.0053
Rh 0.5000 0.0000 0.0053
Rh 0.5000 0.5000 0.2714
Pb 0.5000 0.5000 0.6811

[4]
This record from Alexandria describes an optimized crystal structure of HRh3Pb. The functional is PBE-GGA.

The value obtained for the uncorrected energy is -5.546 eV/atom. As for the symmetry: R-3c (167). For the energy above the lowest structure with this stoichiometry, the calculation gives 345 meV per atom.

abc: 5.3309 5.3309 5.3309
angles: 79.86 79.86 79.86
Fractional positions:
H 0.2500 0.2500 0.2500
H 0.7500 0.7500 0.7500
Rh 0.0069 0.7500 0.4931
Rh 0.2500 0.5069 0.9931
Rh 0.4931 0.0069 0.7500
Rh 0.5069 0.9931 0.2500
Rh 0.7500 0.4931 0.0069
Rh 0.9931 0.2500 0.5069
Pb 0.0000 0.0000 0.0000
Pb 0.5000 0.5000 0.5000

[5]
This record from Alexandria describes an optimized crystal structure of H2Rh3Pb2. The functional is PBE-GGA.

The value obtained for the uncorrected energy is -5.207 eV/atom. As for the symmetry: C2/m (12). For the energy above the lowest structure with this stoichiometry, the calculation gives 0 meV per atom.

abc: 10.4594 3.5468 5.7480
angles: 90.00 103.86 90.00
Fractional positions:
H 0.1156 0.0000 0.2878
H 0.3844 0.5000 0.7122
H 0.6156 0.5000 0.2878
H 0.8844 0.0000 0.7122
Rh 0.0000 0.0000 0.0000
Rh 0.1753 0.5000 0.3147
Rh 0.3247 0.0000 0.6853
Rh 0.5000 0.5000 0.0000
Rh 0.6753 0.0000 0.3147
Rh 0.8247 0.5000 0.6853
Pb 0.1278 0.5000 0.7708
Pb 0.3722 0.0000 0.2292
Pb 0.6278 0.0000 0.7708
Pb 0.8722 0.5000 0.2292

[6]
This record from Alexandria describes an optimized crystal structure of HRh3Pb. The functional is PBE-GGA.

The value obtained for the uncorrected energy is -5.504 eV/atom. As for the symmetry: P6_3/mmc (194). For the energy above the lowest structure with this stoichiometry, the calculation gives 387 meV per atom.

abc: 4.5703 4.5703 7.8977
angles: 90.00 90.00 120.00
Fractional positions:
H 0.0000 0.0000 0.0000
H 0.0000 0.0000 0.5000
Rh 0.0000 0.0000 0.2500
Rh 0.0000 0.0000 0.7500
Rh 0.3333 0.6667 0.0822
Rh 0.3333 0.6667 0.4178
Rh 0.6667 0.3333 0.5822
Rh 0.6667 0.3333 0.9178
Pb 0.3333 0.6667 0.7500
Pb 0.6667 0.3333 0.2500

[7]
This record from Alexandria describes an optimized crystal structure of HRh3Pb. The functional is PBE-GGA.

The value obtained for the uncorrected energy is -5.677 eV/atom. As for the symmetry: R-3 (148). For the energy above the lowest structure with this stoichiometry, the calculation gives 215 meV per atom.

abc: 7.3387 7.3387 7.3387
angles: 39.78 39.78 39.78
Fractional positions:
H 0.0749 0.0749 0.0749
H 0.9251 0.9251 0.9251
Rh 0.1115 0.4467 0.7789
Rh 0.2211 0.8885 0.5533
Rh 0.4467 0.7789 0.1115
Rh 0.5533 0.2211 0.8885
Rh 0.7789 0.1115 0.4467
Rh 0.8885 0.5533 0.2211
Pb 0.3336 0.3336 0.3336
Pb 0.6664 0.6664 0.6664

[8]
This record from Alexandria describes an optimized crystal structure of HRh3Pb. The functional is PBE-GGA.

The value obtained for the uncorrected energy is -3.830 eV/atom. As for the symmetry: Pm-3m (221). For the energy above the lowest structure with this stoichiometry, the calculation gives 2062 meV per atom.

abc: 5.0479 5.0479 5.0479
angles: 90.00 90.00 90.00
Fractional positions:
H 0.0000 0.0000 0.0000
Rh 0.0000 0.5000 0.5000
Rh 0.5000 0.0000 0.5000
Rh 0.5000 0.5000 0.0000
Pb 0.5000 0.5000 0.5000

[9]
This record from Alexandria describes an optimized crystal structure of H2Rh5Pb2. The functional is PBE-GGA.

The value obtained for the uncorrected energy is -5.646 eV/atom. As for the symmetry: P4/mmm (123).

abc: 4.0072 4.0072 8.0877
angles: 90.00 90.00 90.00
Fractional positions:
H 0.0000 0.0000 0.2349
H 0.0000 0.0000 0.7651
Rh 0.0000 0.0000 0.5000
Rh 0.0000 0.5000 0.2507
Rh 0.0000 0.5000 0.7493
Rh 0.5000 0.0000 0.2507
Rh 0.5000 0.0000 0.7493
Pb 0.5000 0.5000 0.0000
Pb 0.5000 0.5000 0.5000

[10]
This record from Alexandria describes an optimized crystal structure of HRh3Pb. The functional is PBE-GGA.

The value obtained for the uncorrected energy is -5.723 eV/atom. As for the symmetry: P2_1/c (14). For the energy above the lowest structure with this stoichiometry, the calculation gives 169 meV per atom.

abc: 8.1131 4.9219 7.2531
angles: 90.00 103.11 90.00
Fractional positions:
H 0.0889 0.2072 0.4415
H 0.0889 0.2928 0.9415
H 0.9111 0.7072 0.0585
H 0.9111 0.7928 0.5585
Rh 0.0465 0.0951 0.6896
Rh 0.0465 0.4049 0.1896
Rh 0.1604 0.5757 0.5690
Rh 0.1604 0.9243 0.0690
Rh 0.3127 0.1153 0.4570
Rh 0.3127 0.3847 0.9570
Rh 0.6873 0.6153 0.0430
Rh 0.6873 0.8847 0.5430
Rh 0.8396 0.0757 0.9310
Rh 0.8396 0.4243 0.4310
Rh 0.9535 0.5951 0.8104
Rh 0.9535 0.9049 0.3104
Pb 0.3884 0.6223 0.3140
Pb 0.3884 0.8777 0.8140
Pb 0.6116 0.1223 0.1860
Pb 0.6116 0.3777 0.6860

[11]
This record from Alexandria describes an optimized crystal structure of H2RhPb. The functional is PBE-GGA.

The value obtained for the uncorrected energy is -4.433 eV/atom. As for the symmetry: Ima2 (46). For the energy above the lowest structure with this stoichiometry, the calculation gives 6 meV per atom.

abc: 4.9449 7.0004 5.8420
angles: 90.00 90.00 90.00
Fractional positions:
H 0.0000 0.0000 0.0000
H 0.0000 0.5000 0.5000
H 0.2500 0.1375 0.7746
H 0.2500 0.3625 0.2746
H 0.5000 0.0000 0.0000
H 0.5000 0.5000 0.5000
H 0.7500 0.6375 0.2746
H 0.7500 0.8625 0.7746
Rh 0.2500 0.1717 0.0637
Rh 0.2500 0.3283 0.5637
Rh 0.7500 0.6717 0.5637
Rh 0.7500 0.8283 0.0637
Pb 0.2500 0.6398 0.9153
Pb 0.2500 0.8602 0.4153
Pb 0.7500 0.1398 0.4153
Pb 0.7500 0.3602 0.9153

[12]
This record from Alexandria describes an optimized crystal structure of HRhPb. The functional is PBE-GGA.

The value obtained for the uncorrected energy is -4.879 eV/atom. As for the symmetry: P2_1/c (14). For the energy above the lowest structure with this stoichiometry, the calculation gives 0 meV per atom.

abc: 7.0820 5.4324 5.4670
angles: 90.00 111.20 90.00
Fractional positions:
H 0.1261 0.0908 0.1546
H 0.1261 0.4092 0.6546
H 0.8739 0.5908 0.3454
H 0.8739 0.9092 0.8454
Rh 0.0081 0.1820 0.8191
Rh 0.0081 0.3180 0.3191
Rh 0.9919 0.6820 0.6809
Rh 0.9919 0.8180 0.1809
Pb 0.3219 0.5292 0.1663
Pb 0.3219 0.9708 0.6663
Pb 0.6781 0.0292 0.3337
Pb 0.6781 0.4708 0.8337

[13]
This record from Alexandria describes an optimized crystal structure of HRh3Pb. The functional is PBE-GGA.

The value obtained for the uncorrected energy is -5.662 eV/atom. As for the symmetry: C2/m (12). For the energy above the lowest structure with this stoichiometry, the calculation gives 230 meV per atom.

abc: 7.6091 7.6091 5.8727
angles: 100.74 100.74 28.12
Fractional positions:
H 0.0673 0.0673 0.2346
H 0.9327 0.9327 0.7654
Rh 0.1853 0.1853 0.4212
Rh 0.2628 0.2628 0.8638
Rh 0.4370 0.4370 0.8125
Rh 0.5630 0.5630 0.1875
Rh 0.7372 0.7372 0.1362
Rh 0.8147 0.8147 0.5788
Pb 0.3919 0.3919 0.3005
Pb 0.6081 0.6081 0.6995

[14]
This record from Alexandria describes an optimized crystal structure of H3RhPb. The functional is PBE-GGA.

The value obtained for the uncorrected energy is -3.096 eV/atom. As for the symmetry: Pm-3m (221). For the energy above the lowest structure with this stoichiometry, the calculation gives 1125 meV per atom.

abc: 4.0047 4.0047 4.0047
angles: 90.00 90.00 90.00
Fractional positions:
H 0.0000 0.0000 0.5000
H 0.0000 0.5000 0.0000
H 0.5000 0.0000 0.0000
Rh 0.5000 0.5000 0.5000
Pb 0.0000 0.0000 0.0000

[15]
This record from Alexandria describes an optimized crystal structure of HRuRh2Pb. The functional is PBE-GGA.

The value obtained for the uncorrected energy is -5.576 eV/atom. As for the symmetry: P4/mmm (123). For the energy above the lowest structure with this stoichiometry, the calculation gives 528 meV per atom.

abc: 4.9260 4.9260 3.2966
angles: 90.00 90.00 90.00
Fractional positions:
H 0.0000 0.0000 0.0000
Ru 0.0000 0.0000 0.5000
Rh 0.0000 0.5000 0.5000
Rh 0.5000 0.0000 0.5000
Pb 0.5000 0.5000 0.0000

[16]
This record from Alexandria describes an optimized crystal structure of HRuRh2Pb. The functional is PBE-GGA.

The value obtained for the uncorrected energy is -6.104 eV/atom. As for the symmetry: P4/mmm (123). For the energy above the lowest structure with this stoichiometry, the calculation gives 0 meV per atom.

abc: 4.0262 4.0262 4.1286
angles: 90.00 90.00 90.00
Fractional positions:
H 0.0000 0.0000 0.0000
Ru 0.0000 0.0000 0.5000
Rh 0.0000 0.5000 0.0000
Rh 0.5000 0.0000 0.0000
Pb 0.5000 0.5000 0.5000

[17]
This record from Alexandria describes an optimized crystal structure of H6RuRhPb2. The functional is PBE-GGA.

The value obtained for the uncorrected energy is -4.292 eV/atom. As for the symmetry: Fmmm (69).

abc: 5.2896 5.2859 5.2771
angles: 60.10 60.03 59.87
Fractional positions:
H 0.2472 0.2472 0.7528
H 0.2476 0.7524 0.2476
H 0.2477 0.7523 0.7523
H 0.7523 0.2477 0.2477
H 0.7524 0.2476 0.7524
H 0.7528 0.7528 0.2472
Ru 0.0000 0.0000 0.0000
Rh 0.5000 0.5000 0.5000
Pb 0.2500 0.2500 0.2500
Pb 0.7500 0.7500 0.7500

[18]
This record from Alexandria describes an optimized crystal structure of HRhPbS2. The functional is PBE-GGA.

The value obtained for the uncorrected energy is -4.023 eV/atom. As for the symmetry: P4/mmm (123).

abc: 4.4450 4.4450 5.9597
angles: 90.00 90.00 90.00
Fractional positions:
H 0.0000 0.0000 0.0000
Rh 0.5000 0.5000 0.5000
Pb 0.5000 0.5000 0.0000
S 0.0000 0.5000 0.5000
S 0.5000 0.0000 0.5000

[19]
This record from Alexandria describes an optimized crystal structure of ScH6Rh2Pb. The functional is PBE-GGA.

The value obtained for the uncorrected energy is -4.647 eV/atom. As for the symmetry: C2/c (15).

abc: 5.9436 5.9436 6.1356
angles: 101.55 101.55 100.12
Fractional positions:
Sc 0.0974 0.9026 0.7500
Sc 0.9026 0.0974 0.2500
H 0.0308 0.8379 0.3963
H 0.0929 0.5940 0.8708
H 0.1621 0.9692 0.1037
H 0.2713 0.2768 0.4221
H 0.2768 0.2713 0.9221
H 0.4060 0.9071 0.6292
H 0.5940 0.0929 0.3708
H 0.7232 0.7287 0.0779
H 0.7287 0.7232 0.5779
H 0.8379 0.0308 0.8963
H 0.9071 0.4060 0.1292
H 0.9692 0.1621 0.6037
Rh 0.1720 0.4168 0.6664
Rh 0.4168 0.1720 0.1664
Rh 0.5832 0.8280 0.8336
Rh 0.8280 0.5832 0.3336
Pb 0.3457 0.6543 0.2500
Pb 0.6543 0.3457 0.7500

[20]
This record from Alexandria describes an optimized crystal structure of Sc2HRhPb. The functional is PBE-GGA.

The value obtained for the uncorrected energy is -5.959 eV/atom. As for the symmetry: P4/mmm (123).

abc: 4.6488 4.6488 3.8255
angles: 90.00 90.00 90.00
Fractional positions:
Sc 0.0000 0.5000 0.0000
Sc 0.5000 0.0000 0.0000
H 0.0000 0.0000 0.0000
Rh 0.0000 0.0000 0.5000
Pb 0.5000 0.5000 0.5000

[21]
This record from Alexandria describes an optimized crystal structure of SnHRh4Pb. The functional is PBE-GGA.

The value obtained for the uncorrected energy is -5.905 eV/atom. As for the symmetry: Cmcm (63).

abc: 7.3196 7.3196 5.6450
angles: 90.00 90.00 134.69
Fractional positions:
Sn 0.1085 0.8915 0.7500
Sn 0.8915 0.1085 0.2500
H 0.2467 0.7533 0.2500
H 0.7533 0.2467 0.7500
Rh 0.0000 0.5000 0.0000
Rh 0.0000 0.5000 0.5000
Rh 0.0865 0.9135 0.2500
Rh 0.4023 0.5977 0.2500
Rh 0.5000 0.0000 0.0000
Rh 0.5000 0.0000 0.5000
Rh 0.5977 0.4023 0.7500
Rh 0.9135 0.0865 0.7500
Pb 0.3989 0.6011 0.7500
Pb 0.6011 0.3989 0.2500

[22]
This record from Alexandria describes an optimized crystal structure of TbH8Rh2Pb. The functional is PBE-GGA.

The value obtained for the uncorrected energy is -4.174 eV/atom. As for the symmetry: R-3m (166).

abc: 8.9127 8.9127 8.9127
angles: 26.93 26.93 26.93
Fractional positions:
Tb 0.0000 0.0000 0.0000
H 0.0848 0.5246 0.5246
H 0.1871 0.1871 0.1871
H 0.4754 0.4754 0.9152
H 0.4754 0.9152 0.4754
H 0.5246 0.0848 0.5246
H 0.5246 0.5246 0.0848
H 0.8129 0.8129 0.8129
H 0.9152 0.4754 0.4754
Rh 0.2536 0.2536 0.2536
Rh 0.7464 0.7464 0.7464
Pb 0.5000 0.5000 0.5000